No. 1
A plane-wave DFT calculation with GGA-PBE was carried out for a relaxed Y2In3Ga3 crystal.

Output
Formation enthalpy at 0 K = -0.46 eV per atom

a = 4.3729 Å, b = 4.4727 Å, c = 9.1837 Å
α = 90.00°, β = 90.00°, γ = 90.00°
Last column: nearest neighbours and their distance in Å.
Fractional coordinates of all 8 atoms:
In1 0.5000 0.0000 0.5000  4 In 3.13, 4 Y 3.22, 4 Ga 3.26
In2 0.0000 0.5000 0.0000  8 Ga 3.12-3.13, 4 Y 3.15
Y1 0.0000 0.0000 0.7578  6 Ga 3.12-3.13, 6 In 3.15-3.26
Ga1 0.5000 0.0000 0.0000  4 Y 3.12, 4 In 3.13, 4 Ga 3.15
In3 0.0000 0.5000 0.5000  4 In 3.13, 4 Ga 3.23, 4 Y 3.26
Ga2 0.5000 0.5000 0.2417  6 In 3.12-3.26, 4 Y 3.13, 2 Ga 3.15
Ga3 0.5000 0.5000 0.7583  6 In 3.12-3.26, 4 Y 3.13, 2 Ga 3.15
Y2 0.0000 0.0000 0.2422  6 Ga 3.12-3.13, 6 In 3.15-3.26

---

No. 2
A plane-wave DFT calculation with GGA-PBE was carried out for a relaxed AgBiPd crystal.

Output
Formation enthalpy at 0 K = -0.05 eV per atom

a = 4.5984 Å, b = 4.5969 Å, c = 6.5519 Å
α = 89.99°, β = 89.99°, γ = 89.99°
Last column: nearest neighbours and their distance in Å.
Fractional coordinates of all 6 atoms:
Pd1 0.7725 0.5985 0.9865  4 Ag 2.82, 4 Bi 2.82
Pd2 0.7725 0.5986 0.4864  4 Bi 2.82, 4 Ag 2.82
Bi1 0.7725 0.0986 0.7364  4 Pd 2.82
Bi2 0.2724 0.5985 0.2365  4 Pd 2.82
Ag1 0.7722 0.0986 0.2364  4 Pd 2.82
Ag2 0.2725 0.5987 0.7364  4 Pd 2.82

---

No. 3
A plane-wave DFT calculation with GGA-PBE was carried out for a relaxed SrTeI6 crystal.

Output
Formation energy from raw total energies = -14.572 kcal/mol of atoms

a = 7.7255 Å, b = 7.7272 Å, c = 8.3088 Å
α = 62.30°, β = 62.30°, γ = 60.01°
Last column: nearest neighbours and their distance in Å.
Fractional coordinates of all 8 atoms:
I1 0.9494 0.5869 0.2398  1 Te 2.99, 1 Sr 3.34
Te1 0.0000 0.0000 0.0000  6 I 2.99
I2 0.4131 0.7761 0.7602  1 Te 2.99, 1 Sr 3.34
I3 0.2240 0.9494 0.2398  1 Te 2.99, 1 Sr 3.34
Sr1 0.5000 0.5000 0.5000  6 I 3.34
I4 0.5869 0.2239 0.2398  1 Te 2.99, 1 Sr 3.34
I5 0.7760 0.0506 0.7602  1 Te 2.99, 1 Sr 3.34
I6 0.0506 0.4131 0.7602  1 Te 2.99, 1 Sr 3.34

---

| no. | magnetization (μB/f.u.) |
| --- | --- |
| 1 | 0.0 |
| 2 | 0.0 |
| 3 | 0.0 |